Record 1
Density functional theory data (GGA-PBE) for a relaxed ThTiTc crystal.

Output
As for the total magnetic moment: 0.0 Bohr magnetons per cell. The total energy is -78.5 eV/cell. As for the symmetry: P-62m (189).

Cell: 4.148 7.280 7.280 Å, 120.00 90.00 90.00°
Fractional positions:
Th1 0.000 0.435 0.000
Th2 0.000 0.000 0.435
Th3 0.000 0.565 0.565
Ti1 0.500 0.230 0.230
Ti2 0.500 0.770 0.000
Ti3 0.500 0.000 0.770
Tc1 0.000 0.000 0.000
Tc2 0.500 0.333 0.667
Tc3 0.500 0.667 0.333

---

Record 2
Density functional theory data (GGA-PBE) for a relaxed ThTiTc2 crystal.

Output
As for the total magnetic moment: 0.0 Bohr magnetons per cell. The total energy is -36.8 eV/cell. Its distance to the lowest polymorph of the same formula is 0 kJ/mol of formula units. As for the symmetry: Fm-3m (225).

Cell: 4.708 4.708 4.708 Å, 60.00 60.00 60.00°
Fractional positions:
Ti1 0.500 0.500 0.500
Th1 0.000 0.000 0.000
Tc1 0.250 0.250 0.250
Tc2 0.750 0.750 0.750

---

Record 3
Density functional theory data (GGA-PBE) for a relaxed Th2TiTc crystal.

Output
As for the total magnetic moment: 0.1 Bohr magnetons per cell. The total energy is -30.9 eV/cell. As for the symmetry: R-3m (166).

Cell: 3.309 3.309 10.391 Å, 80.84 80.84 60.00°
Fractional positions:
Th1 0.093 0.093 0.720
Th2 0.907 0.907 0.280
Ti1 0.000 0.000 0.000
Tc1 0.500 0.500 0.500

---

Record 4
Density functional theory data (GGA-PBE) for a relaxed Th5Tl2Tc crystal.

Output
As for the total magnetic moment: 0.0 Bohr magnetons per cell. The total energy is -106.5 eV/cell. Its distance to the lowest polymorph of the same formula is 0 kJ/mol of formula units. As for the symmetry: Pbam (55).

Cell: 4.745 8.157 12.395 Å, 90.00 90.00 90.00°
Fractional positions:
Th1 0.500 0.689 0.935
Th2 0.000 0.865 0.704
Th3 0.000 0.635 0.204
Th4 0.500 0.189 0.565
Th5 0.000 0.000 0.000
Th6 0.000 0.135 0.296
Th7 0.500 0.811 0.435
Th8 0.500 0.311 0.065
Th9 0.000 0.500 0.500
Th10 0.000 0.365 0.796
Tc1 0.000 0.000 0.500
Tc2 0.000 0.500 0.000
Tl1 0.500 0.084 0.827
Tl2 0.500 0.416 0.327
Tl3 0.500 0.916 0.173
Tl4 0.500 0.584 0.673

---

Record 5
Density functional theory data (GGA-PBE) for a relaxed Th12TlTc6 crystal.

Output
As for the total magnetic moment: 0.0 Bohr magnetons per cell. The total energy is -154.6 eV/cell. Its distance to the lowest polymorph of the same formula is 0 kJ/mol of formula units. As for the symmetry: Im-3 (204).

Cell: 8.798 8.798 8.798 Å, 109.47 109.47 109.47°
Fractional positions:
Tc1 0.642 0.500 0.142
Tc2 0.500 0.142 0.642
Tc3 0.858 0.358 0.500
Tc4 0.358 0.500 0.858
Tc5 0.500 0.858 0.358
Tc6 0.142 0.642 0.500
Th1 0.492 0.185 0.306
Th2 0.815 0.306 0.121
Th3 0.121 0.815 0.306
Th4 0.815 0.694 0.508
Th5 0.306 0.121 0.815
Th6 0.879 0.185 0.694
Th7 0.694 0.508 0.815
Th8 0.185 0.306 0.492
Th9 0.694 0.879 0.185
Th10 0.185 0.694 0.879
Th11 0.508 0.815 0.694
Th12 0.306 0.492 0.185
Tl1 0.000 0.000 0.000

---

Record 6
Density functional theory data (GGA-PBE) for a relaxed Th2TlTc crystal.

Output
As for the total magnetic moment: 0.0 Bohr magnetons per cell. The total energy is -27.3 eV/cell. As for the symmetry: P4/mmm (123).

Cell: 4.114 4.996 4.996 Å, 90.00 90.00 90.00°
Fractional positions:
Tl1 0.500 0.500 0.500
Th1 0.000 0.000 0.500
Th2 0.000 0.500 0.000
Tc1 0.500 0.000 0.000

---

Record 7
Density functional theory data (GGA-PBE) for a relaxed Th3TlTc2 crystal.

Output
As for the total magnetic moment: 0.0 Bohr magnetons per cell. The total energy is -91.8 eV/cell. Its distance to the lowest polymorph of the same formula is 0 kJ/mol of formula units. As for the symmetry: Pmc2_1 (26).

Cell: 4.271 8.007 9.266 Å, 90.00 90.00 90.00°
Fractional positions:
Th1 0.500 0.709 0.254
Th2 0.000 0.351 0.447
Th3 0.500 0.209 0.746
Th4 0.500 0.651 0.837
Th5 0.500 0.151 0.163
Th6 0.000 0.851 0.553
Tl1 0.000 0.939 0.945
Tl2 0.000 0.439 0.055
Tc1 0.000 0.960 0.256
Tc2 0.500 0.091 0.453
Tc3 0.000 0.460 0.744
Tc4 0.500 0.591 0.547

---

Record 8
Density functional theory data (GGA-PBE) for a relaxed Th3TlTc2 crystal.

Output
As for the total magnetic moment: 0.0 Bohr magnetons per cell. The total energy is -91.4 eV/cell. Its distance to the lowest polymorph of the same formula is 20 kJ/mol of formula units. As for the symmetry: C2/m (12).

Cell: 4.786 8.582 8.291 Å, 106.16 106.78 90.00°
Fractional positions:
Tc1 0.940 0.846 0.880
Tc2 0.809 0.455 0.618
Tc3 0.191 0.545 0.382
Tc4 0.060 0.154 0.120
Th1 0.392 0.625 0.784
Th2 0.927 0.293 0.855
Th3 0.237 0.212 0.474
Th4 0.073 0.707 0.145
Th5 0.763 0.788 0.526
Th6 0.608 0.375 0.216
Tl1 0.404 0.026 0.809
Tl2 0.596 0.974 0.191

---

Number 1: DFT formation energy -0.16 eV/atom. Number 2: DFT formation energy -0.18 eV/atom. Number 3: DFT formation energy 0.55 eV/atom. Number 4: DFT formation energy -0.13 eV/atom. Number 5: DFT formation energy -0.05 eV/atom. Number 6: DFT formation energy 0.07 eV/atom. Number 7: DFT formation energy -0.09 eV/atom. Number 8: DFT formation energy -0.06 eV/atom.